Record 1
First-principles (PBE) data for a relaxed structure of TlCo2Rh, as listed in the Alexandria database.

Structure (CIF):
```
data_TlCo2Rh
_chemical_formula_sum 'Tl1 Co2 Rh1'
_symmetry_space_group_name_H-M 'P 1'
_symmetry_Int_Tables_number 1
_symmetry_space_group_name_Hall 'P 1'
_cell_length_a 2.9822
_cell_length_b 2.9819
_cell_length_c 6.6855
_cell_angle_alpha 90.00
_cell_angle_beta 90.00
_cell_angle_gamma 90.00
loop_
_atom_site_label
_atom_site_fract_x
_atom_site_fract_y
_atom_site_fract_z
_atom_site_occupancy
Co1 0.0000 0.0000 0.0516 1
Co2 0.5000 0.5000 0.2298 1
Rh1 0.0000 0.0000 0.4597 1
Tl1 0.5000 0.5000 0.7588 1
```

Output
Energy above the most stable polymorph in this dataset (meV per atom): 0
Energy of formation from the pure elements (eV/atom): 0.301

=====

Record 2
First-principles (PBE) data for a relaxed structure of TlCoRh2, as listed in the Alexandria database.

Structure (CIF):
```
data_TlCoRh2
_chemical_formula_sum 'Tl1 Co1 Rh2'
_symmetry_space_group_name_H-M 'P 1'
_symmetry_Int_Tables_number 1
_symmetry_space_group_name_Hall 'P 1'
_cell_length_a 4.1461
_cell_length_b 4.1356
_cell_length_c 3.6382
_cell_angle_alpha 90.00
_cell_angle_beta 90.00
_cell_angle_gamma 90.00
loop_
_atom_site_label
_atom_site_fract_x
_atom_site_fract_y
_atom_site_fract_z
_atom_site_occupancy
Co1 0.0000 0.5000 0.5000 1
Rh1 0.0000 0.0000 0.0000 1
Rh2 0.5000 0.5000 0.0000 1
Tl1 0.5000 0.0000 0.5000 1
```

Output
Energy of formation from the pure elements (eV/atom): 0.269

=====

Record 3
First-principles (PBE) data for a relaxed structure of TlCo4Rh, as listed in the Alexandria database.

Structure (CIF):
```
data_TlCo4Rh
_chemical_formula_sum 'Tl1 Co4 Rh1'
_symmetry_space_group_name_H-M 'P 1'
_symmetry_Int_Tables_number 1
_symmetry_space_group_name_Hall 'P 1'
_cell_length_a 4.8465
_cell_length_b 4.8465
_cell_length_c 4.8465
_cell_angle_alpha 60.00
_cell_angle_beta 60.00
_cell_angle_gamma 60.00
loop_
_atom_site_label
_atom_site_fract_x
_atom_site_fract_y
_atom_site_fract_z
_atom_site_occupancy
Tl1 0.0000 0.0000 0.0000 1
Co1 0.8740 0.3753 0.3753 1
Co2 0.3753 0.3753 0.8740 1
Co3 0.3753 0.8740 0.3753 1
Co4 0.3753 0.3753 0.3753 1
Rh1 0.7500 0.7500 0.7500 1
```

Output
Energy of formation from the pure elements (eV/atom): 0.271

=====

| no. | E_tot (Ha/atom) | total moment (μB per atom) |
| --- | --- | --- |
| 1 | -0.209 | 0.971 |
| 2 | -0.212 | 0.706 |
| 3 | -0.224 | 1.246 |